1.
Computed, not measured: an optimized crystal structure of ScU5P6 at the GGA-PBE level of DFT.

The density of states at the Fermi level is 2.3094 states/eV/atom. The total magnetization comes out at 21.3 μB/cell. As for the crystal system: monoclinic. As for the formation enthalpy at 0 K: -12.58 eV/f.u.

Cell and atoms, written as CIF:
```
data_ScU5P6
_chemical_formula_sum 'Sc2 U10 P12'
_cell_length_a 6.777
_cell_length_b 11.743
_cell_length_c 6.758
_cell_angle_alpha 90.00
_cell_angle_beta 109.58
_cell_angle_gamma 90.00
_space_group_name_H-M_alt 'C 1 2/m 1'
_space_group_IT_number 12
loop_
_space_group_symop_operation_xyz
'x,y,z'
'-x,-y,-z'
'-x,y,-z'
'x,-y,z'
'x+1/2,y+1/2,z'
'-x+1/2,-y+1/2,-z'
'-x+1/2,y+1/2,-z'
'x+1/2,-y+1/2,z'
loop_
_atom_site_label
_atom_site_fract_x
_atom_site_fract_y
_atom_site_fract_z
Sc1 0.000 0.000 0.000
U1 0.000 0.168 0.500
U2 0.000 0.334 0.000
U3 0.000 0.500 0.500
P1 0.244 0.000 0.752
P2 0.245 0.164 0.245
```



2.
Computed, not measured: an optimized crystal structure of Sc2UP3 at the GGA-PBE level of DFT.

The density of states at the Fermi level is 1.1289 states/eV/atom. The total magnetization comes out at 8.2 μB/cell. As for the crystal system: orthorhombic. As for the formation enthalpy at 0 K: -7.84 eV/f.u.

Cell and atoms, written as CIF:
```
data_Sc2UP3
_chemical_formula_sum 'Sc8 U4 P12'
_cell_length_a 7.633
_cell_length_b 5.420
_cell_length_c 11.433
_cell_angle_alpha 90.00
_cell_angle_beta 90.00
_cell_angle_gamma 90.00
_space_group_name_H-M_alt 'P n m a'
_space_group_IT_number 62
loop_
_space_group_symop_operation_xyz
'x,y,z'
'-x,-y,-z'
'-x+1/2,-y,z+1/2'
'x+1/2,y,-z+1/2'
'x+1/2,-y+1/2,-z+1/2'
'-x+1/2,y+1/2,z+1/2'
'-x,y+1/2,-z'
'x,-y+1/2,z'
loop_
_atom_site_label
_atom_site_fract_x
_atom_site_fract_y
_atom_site_fract_z
Sc1 0.123 0.250 0.084
Sc2 0.124 0.250 0.749
U1 0.127 0.250 0.419
P1 0.123 0.750 0.084
P2 0.124 0.750 0.750
P3 0.131 0.750 0.414
```



3.
Computed, not measured: an optimized crystal structure of Sc5UP6 at the GGA-PBE level of DFT.

The density of states at the Fermi level is 0.6207 states/eV/atom. The total magnetization comes out at 3.2 μB/cell. As for the crystal system: monoclinic. As for the formation enthalpy at 0 K: -16.91 eV/f.u.

Cell and atoms, written as CIF:
```
data_Sc5UP6
_chemical_formula_sum 'Sc10 U2 P12'
_cell_length_a 6.552
_cell_length_b 11.358
_cell_length_c 6.547
_cell_angle_alpha 90.00
_cell_angle_beta 109.49
_cell_angle_gamma 90.00
_space_group_name_H-M_alt 'C 1 2/m 1'
_space_group_IT_number 12
loop_
_space_group_symop_operation_xyz
'x,y,z'
'-x,-y,-z'
'-x,y,-z'
'x,-y,z'
'x+1/2,y+1/2,z'
'-x+1/2,-y+1/2,-z'
'-x+1/2,y+1/2,-z'
'x+1/2,-y+1/2,z'
loop_
_atom_site_label
_atom_site_fract_x
_atom_site_fract_y
_atom_site_fract_z
Sc1 0.000 0.000 0.000
Sc2 0.000 0.167 0.500
Sc3 0.000 0.333 0.000
U1 0.000 0.500 0.500
P1 0.248 0.167 0.247
P2 0.249 0.000 0.750
```



Values of ρ, in order: 9.31; 5.91; 4.69, all in Mg/m³.